Crystalline Rb2FeI4 at its relaxed geometry, computed with GGA-PBEsol.

## Properties
* spin magnetization: 4.00 μB per formula unit
* SG: No. 4
* formation energy from raw total energies: -0.85 eV per atom

a = 7.518 Å, b = 7.992 Å, c = 10.288 Å
α = 90.00°, β = 109.73°, γ = 90.00°
Each line ends with the local moment (μB).
Fractional coordinates of all 14 atoms:
Rb 0.707 0.237 0.414  0.00
Rb 0.201 0.738 0.038  0.00
Rb 0.799 0.238 0.962  0.00
Rb 0.293 0.737 0.586  0.00
I 0.414 0.252 0.640  0.08
I 0.363 0.254 0.051  0.07
I 0.033 0.999 0.281  0.08
I 0.586 0.752 0.360  0.08
I 0.020 0.488 0.276  0.08
I 0.967 0.499 0.719  0.08
I 0.637 0.754 0.949  0.07
I 0.980 0.988 0.724  0.08
Fe 0.195 0.248 0.786  3.23
Fe 0.805 0.748 0.214  3.23



Crystalline RbFeI4 at its relaxed geometry, computed with GGA-PBEsol.

## Properties
* spin magnetization: 5.01 μB per formula unit
* SG: No. 14
* formation energy from raw total energies: -0.57 eV per atom

a = 7.146 Å, b = 8.133 Å, c = 17.606 Å
α = 90.00°, β = 90.00°, γ = 107.50°
Each line ends with the local moment (μB).
Fractional coordinates of all 24 atoms:
I 0.374 0.850 0.750  0.23
I 0.724 0.426 0.051  0.19
I 0.268 0.567 0.551  0.21
I 0.276 0.074 0.551  0.19
I 0.177 0.793 0.157  0.18
I 0.268 0.067 0.949  0.21
I 0.626 0.650 0.250  0.23
I 0.276 0.574 0.949  0.19
I 0.374 0.350 0.750  0.23
I 0.732 0.933 0.051  0.21
I 0.732 0.433 0.449  0.21
I 0.626 0.150 0.250  0.23
I 0.724 0.926 0.449  0.19
I 0.177 0.293 0.343  0.18
I 0.823 0.207 0.843  0.18
I 0.823 0.707 0.657  0.18
Rb 0.820 0.200 0.629  0.00
Rb 0.180 0.800 0.371  0.00
Rb 0.180 0.300 0.129  0.00
Rb 0.820 0.700 0.871  0.00
Fe 0.188 0.297 0.872  3.50
Fe 0.812 0.203 0.372  3.50
Fe 0.812 0.703 0.128  3.50
Fe 0.188 0.797 0.628  3.50



Crystalline RbFe2WI at its relaxed geometry, computed with GGA-PBEsol.

## Properties
* spin magnetization: 5.34 μB per formula unit
* SG: No. 123
* formation energy from raw total energies: 2.10 eV per atom

a = 4.831 Å, b = 4.831 Å, c = 5.037 Å
α = 90.00°, β = 90.00°, γ = 90.00°
Each line ends with the local moment (μB).
Fractional coordinates of all 5 atoms:
Fe 0.000 0.500 0.000  2.33
Fe 0.500 0.000 0.000  2.33
Rb 0.500 0.500 0.500  0.01
W 0.000 0.000 0.500  0.70
I 0.000 0.000 0.000  -0.08



Crystalline Ti2FeReI at its relaxed geometry, computed with GGA-PBEsol.

## Properties
* spin magnetization: 2.44 μB per formula unit
* SG: No. 123
* formation energy from raw total energies: 1.77 eV per atom

a = 4.347 Å, b = 4.806 Å, c = 4.806 Å
α = 90.00°, β = 90.00°, γ = 90.00°
Each line ends with the local moment (μB).
Fractional coordinates of all 5 atoms:
I 0.000 0.000 0.000  0.01
Ti 0.000 0.500 0.000  -0.33
Ti 0.000 0.000 0.500  -0.33
Fe 0.500 0.000 0.000  1.71
Re 0.500 0.500 0.500  1.35